Li2VP5O15: relaxed, PBE+U.

a b c (Å): 5.248 8.277 14.275
angles (deg): 90.00 90.00 99.77
Site moments in Bohr magnetons follow the coordinates.
Atoms (fractional coordinates):
Li  0.820  0.849  0.853  0.00
Li  0.180  0.151  0.353  0.00
Li  0.180  0.151  0.147  0.00
Li  0.820  0.849  0.647  0.00
V  0.500  0.500  0.000  1.91
V  0.500  0.500  0.500  1.91
P  0.983  0.480  0.856  0.00
P  0.633  0.014  0.250  0.00
P  0.644  0.167  0.591  0.00
P  0.367  0.986  0.750  0.00
P  0.983  0.480  0.644  0.00
P  0.017  0.520  0.144  0.00
P  0.356  0.833  0.091  0.00
P  0.017  0.520  0.356  0.00
P  0.644  0.167  0.909  0.00
P  0.356  0.833  0.409  0.00
O  0.457  0.732  0.484  -0.01
O  0.543  0.268  0.516  -0.01
O  0.155  0.705  0.155  0.00
O  0.457  0.732  0.016  -0.01
O  0.743  0.514  0.389  -0.01
O  0.228  0.972  0.435  0.00
O  0.155  0.705  0.345  0.00
O  0.257  0.486  0.889  -0.01
O  0.087  0.910  0.750  0.00
O  0.772  0.028  0.565  0.00
O  0.433  0.123  0.250  0.00
O  0.743  0.514  0.111  -0.01
O  0.816  0.583  0.592  0.00
O  0.005  0.457  0.250  0.00
O  0.567  0.877  0.750  0.00
O  0.913  0.090  0.250  0.00
O  0.591  0.885  0.163  0.00
O  0.995  0.543  0.750  0.00
O  0.184  0.417  0.408  0.00
O  0.184  0.417  0.092  0.00
O  0.772  0.028  0.935  0.00
O  0.228  0.972  0.065  0.00
O  0.257  0.486  0.611  -0.01
O  0.845  0.295  0.655  0.00
O  0.409  0.115  0.837  0.00
O  0.591  0.885  0.337  0.00
O  0.543  0.268  0.984  -0.01
O  0.816  0.583  0.908  0.00
O  0.409  0.115  0.663  0.00
O  0.845  0.295  0.845  0.00

- VASP energy: -7.095 eV per atom